1.
{
  "formula": "Si2IrSe",
  "functional": "PBE",
  "state": "optimized geometry",
  "dft_energy_ev_per_fu": -21.744,
  "m_tot_mub_per_cell": 0.000,
  "raw_formation_energy_ev_per_atom": 0.36,
  "density_g_cm3": 8.85,
  "dos_ef_per_ev_cell": 2.6,
  "cell": [[2.772, -3.605, 0.000], [2.772, 3.605, 0.000], [0.000, 0.000, 3.074]],
  "species": ["Si", "Si", "Ir", "Se"],
  "fractional_positions": [[0.000, 0.500, 0.000], [0.500, 0.000, 0.000], [0.000, 0.000, 0.500], [0.500, 0.500, 0.500]]
}


2.
{
  "formula": "PmTlAu10",
  "functional": "PBE",
  "state": "optimized geometry",
  "dft_energy_ev_per_fu": -42.281,
  "m_tot_mub_per_cell": 0.000,
  "formation_enthalpy_0k_mev_per_atom": -199.2,
  "density_g_cm3": 14.91,
  "dos_ef_per_ev_cell": 5.6,
  "cell": [[4.713, 0.000, 0.000], [0.000, 5.676, 0.000], [0.000, 0.000, 9.659]],
  "species": ["Pm", "Tl", "Au", "Au", "Au", "Au", "Au", "Au", "Au", "Au", "Au", "Au"],
  "fractional_positions": [[0.000, 0.000, 0.000], [0.000, 0.500, 0.500], [0.000, 0.000, 0.333], [0.000, 0.000, 0.667], [0.000, 0.500, 0.169], [0.000, 0.500, 0.831], [0.500, 0.000, 0.500], [0.500, 0.241, 0.239], [0.500, 0.241, 0.761], [0.500, 0.500, 0.000], [0.500, 0.759, 0.239], [0.500, 0.759, 0.761]]
}


3.
{
  "formula": "PuNi2Pd",
  "functional": "PBE",
  "state": "optimized geometry",
  "dft_energy_ev_per_fu": -31.584,
  "m_tot_mub_per_cell": 4.755,
  "formation_enthalpy_0k_mev_per_atom": -124.0,
  "density_g_cm3": 12.35,
  "dos_ef_per_ev_cell": 9.5,
  "cell": [[0.000, 3.157, 3.157], [3.157, 0.000, 3.157], [3.157, 3.157, 0.000]],
  "species": ["Pu", "Ni", "Ni", "Pd"],
  "fractional_positions": [[0.000, 0.000, 0.000], [0.250, 0.250, 0.250], [0.750, 0.750, 0.750], [0.500, 0.500, 0.500]]
}


4.
{
  "formula": "Y2NO",
  "functional": "PBE",
  "state": "optimized geometry",
  "dft_energy_ev_per_fu": -34.989,
  "m_tot_mub_per_cell": 0.000,
  "raw_formation_energy_ev_per_atom": -2.19,
  "density_g_cm3": 5.84,
  "dos_ef_per_ev_cell": 1.6,
  "cell": [[1.697, 0.979, 5.925], [-1.697, 0.979, 5.925], [0.000, -1.959, 5.925]],
  "species": ["Y", "Y", "N", "O"],
  "fractional_positions": [[0.000, 0.000, 0.000], [0.180, 0.180, 0.180], [0.587, 0.587, 0.587], [0.759, 0.759, 0.759]]
}


5.
{
  "formula": "Cd4In2Ag2Hg",
  "functional": "PBE",
  "state": "optimized geometry",
  "dft_energy_ev_per_fu": -14.970,
  "m_tot_mub_per_cell": 0.000,
  "formation_enthalpy_0k_mev_per_atom": 19.1,
  "density_g_cm3": 8.89,
  "dos_ef_per_ev_cell": 2.3,
  "cell": [[3.206, 0.000, 0.000], [-1.603, 2.776, 0.000], [0.000, 0.000, 23.003]],
  "species": ["Cd", "Cd", "Cd", "Cd", "In", "In", "Ag", "Ag", "Hg"],
  "fractional_positions": [[0.000, 0.000, 0.000], [0.000, 0.000, 0.199], [0.333, 0.667, 0.692], [0.333, 0.667, 0.891], [0.000, 0.000, 0.330], [0.000, 0.000, 0.573], [0.000, 0.000, 0.792], [0.333, 0.667, 0.099], [0.333, 0.667, 0.452]]
}


6.
{
  "formula": "DyThZr2",
  "functional": "PBE",
  "state": "optimized geometry",
  "dft_energy_ev_per_fu": -28.425,
  "m_tot_mub_per_cell": 0.000,
  "formation_enthalpy_0k_mev_per_atom": 173.3,
  "density_g_cm3": 8.93,
  "dos_ef_per_ev_cell": 6.7,
  "cell": [[0.000, 3.771, 3.771], [3.771, 0.000, 3.771], [3.771, 3.771, 0.000]],
  "species": ["Dy", "Th", "Zr", "Zr"],
  "fractional_positions": [[0.000, 0.000, 0.000], [0.500, 0.500, 0.500], [0.250, 0.250, 0.250], [0.750, 0.750, 0.750]]
}


7.
{
  "formula": "K2Rb3NaI6",
  "functional": "PBE",
  "state": "optimized geometry",
  "dft_energy_ev_per_fu": -33.018,
  "m_tot_mub_per_cell": 0.000,
  "raw_formation_energy_ev_per_atom": -1.44,
  "density_g_cm3": 3.30,
  "dos_ef_per_ev_cell": 0.0,
  "cell": [[4.409, -7.643, 0.000], [4.409, 7.643, 0.000], [-2.952, 0.000, 8.356]],
  "species": ["K", "K", "Rb", "Rb", "Rb", "Na", "I", "I", "I", "I", "I", "I"],
  "fractional_positions": [[0.166, 0.834, 0.000], [0.834, 0.166, 0.000], [0.000, 0.000, 0.500], [0.330, 0.670, 0.500], [0.670, 0.330, 0.500], [0.500, 0.500, 0.000], [0.104, 0.423, 0.770], [0.259, 0.259, 0.231], [0.423, 0.104, 0.770], [0.577, 0.896, 0.230], [0.741, 0.741, 0.769], [0.896, 0.577, 0.230]]
}


8.
{
  "formula": "SnAsPCl2",
  "functional": "PBE",
  "state": "optimized geometry",
  "dft_energy_ev_per_fu": -17.182,
  "m_tot_mub_per_cell": 0.000,
  "raw_formation_energy_ev_per_atom": 0.11,
  "density_g_cm3": 3.99,
  "dos_ef_per_ev_cell": 1.6,
  "cell": [[4.948, 0.000, 0.000], [0.000, 4.948, 0.000], [0.000, 0.000, 5.019]],
  "species": ["Sn", "As", "P", "Cl", "Cl"],
  "fractional_positions": [[0.000, 0.000, 0.000], [0.500, 0.500, 0.500], [0.500, 0.500, 0.000], [0.000, 0.500, 0.500], [0.500, 0.000, 0.500]]
}


Question: Number 3 is which compound?
Answer: PuNi2Pd


Question: Number 8 is which compound?
Answer: SnAsPCl2


What did the seventh record say?
{
  "formula": "K2Rb3NaI6",
  "functional": "PBE",
  "state": "optimized geometry",
  "dft_energy_ev_per_fu": -33.018,
  "m_tot_mub_per_cell": 0.000,
  "raw_formation_energy_ev_per_atom": -1.44,
  "density_g_cm3": 3.30,
  "dos_ef_per_ev_cell": 0.0,
  "cell": [[4.409, -7.643, 0.000], [4.409, 7.643, 0.000], [-2.952, 0.000, 8.356]],
  "species": ["K", "K", "Rb", "Rb", "Rb", "Na", "I", "I", "I", "I", "I", "I"],
  "fractional_positions": [[0.166, 0.834, 0.000], [0.834, 0.166, 0.000], [0.000, 0.000, 0.500], [0.330, 0.670, 0.500], [0.670, 0.330, 0.500], [0.500, 0.500, 0.000], [0.104, 0.423, 0.770], [0.259, 0.259, 0.231], [0.423, 0.104, 0.770], [0.577, 0.896, 0.230], [0.741, 0.741, 0.769], [0.896, 0.577, 0.230]]
}